An optimized crystal structure of TmScPb2, computed with PBE.

Results
The space group is P-1, No. 2. The calculation puts the spin magnetization at 0.00 μB/cell. As for the final energy: -4.905 eV per atom. Its formation energy is -0.350 eV per atom.

Lattice parameters (Å, degrees): 6.193 6.200 11.548 93.19 101.75 92.80
Fractional positions:
Tm 0.174 0.148 0.127
Tm 0.184 0.884 0.627
Tm 0.816 0.116 0.373
Tm 0.826 0.852 0.873
Sc 0.326 0.619 0.379
Sc 0.343 0.354 0.878
Sc 0.657 0.646 0.122
Sc 0.674 0.381 0.621
Pb 0.151 0.645 0.111
Pb 0.172 0.382 0.613
Pb 0.325 0.126 0.397
Pb 0.338 0.851 0.899
Pb 0.662 0.149 0.101
Pb 0.675 0.874 0.603
Pb 0.828 0.618 0.387
Pb 0.849 0.355 0.889